# 1
A plane-wave DFT calculation with PBE-GGA was carried out for a relaxed ScSi2Os crystal.

Unit cell a=2.9822 b=5.0249 c=8.5915 alpha=90.00 beta=90.00 gamma=90.00
Space group Immm (No. 71)
Asymmetric unit:
Sc  0.0000  0.0000  0.0000
Si  0.0000  0.5000  0.2254
Os  0.0000  0.0000  0.5000

- VASP energy: -7.312 eV/atom
- Uncorrected formation energy: -0.2104 eV/atom
- Calculated volume: 128.75 Å³ per cell
- Magnetization: 0.0000 μB per atom

=====

# 2
A plane-wave DFT calculation with PBE-GGA was carried out for a relaxed Ac3Dy2Hg2 crystal.

Unit cell a=5.1911 b=24.3900 c=3.7630 alpha=90.00 beta=90.00 gamma=90.00
Space group Cmmm (No. 65)
Asymmetric unit:
Ac  0.0000  0.0000  0.0000
Ac  0.0000  0.1484  0.0000
Dy  0.0000  0.2868  0.5000
Hg  0.0000  0.4245  0.5000

- Formation energy from the elements: -0.62 eV/f.u.
- VASP energy: -3.251 eV/atom
- Calculated volume: 476.43 Å³ per cell
- Magnetization: 0.0000 μB per atom

=====

# 3
A plane-wave DFT calculation with PBE-GGA was carried out for a relaxed AcNi4BiAs2 crystal.

Unit cell a=4.0525 b=4.0525 c=9.2128 alpha=90.00 beta=90.00 gamma=90.00
Space group P4/mmm (No. 123)
Asymmetric unit:
Ac  0.0000  0.0000  0.0000
Ni  0.0000  0.5000  0.3065
Bi  0.0000  0.0000  0.5000
As  0.5000  0.5000  0.1839

- Formation energy from the elements: -2.96 eV/f.u.
- VASP energy: -5.422 eV/atom
- Calculated volume: 151.30 Å³ per cell
- Magnetization: 0.0000 μB per atom

=====

# 4
A plane-wave DFT calculation with PBE-GGA was carried out for a relaxed Pr2BeSi3Pt4 crystal.

Unit cell a=4.2465 b=4.2465 c=9.8724 alpha=90.00 beta=90.00 gamma=90.00
Space group P-4m2 (No. 115)
Asymmetric unit:
Pr  0.0000  0.5000  0.2412
Be  0.5000  0.5000  0.0000
Si  0.0000  0.0000  0.0000
Si  0.0000  0.5000  0.6343
Pt  0.0000  0.0000  0.5000
Pt  0.0000  0.5000  0.8803
Pt  0.5000  0.5000  0.5000

- VASP energy: -6.427 eV/atom
- Uncorrected formation energy: -1.0550 eV/atom
- Calculated volume: 178.03 Å³ per cell
- Magnetization: 0.0000 μB per atom

=====

# 5
A plane-wave DFT calculation with PBE-GGA was carried out for a relaxed BaBeHg2Pt crystal.

Unit cell a=4.9254 b=4.9254 c=4.8318 alpha=90.00 beta=90.00 gamma=90.00
Space group P4/mmm (No. 123)
Asymmetric unit:
Ba  0.0000  0.0000  0.0000
Be  0.5000  0.5000  0.5000
Hg  0.0000  0.5000  0.5000
Pt  0.5000  0.5000  0.0000

- Formation energy from the elements: -1.25 eV/f.u.
- VASP energy: -2.708 eV/atom
- Calculated volume: 117.22 Å³ per cell
- Magnetization: 0.0000 μB per atom

=====

# 6
A plane-wave DFT calculation with PBE-GGA was carried out for a relaxed V2ZnHIr crystal.

Unit cell a=3.8553 b=3.8553 c=3.8623 alpha=90.00 beta=90.00 gamma=90.00
Space group P4/mmm (No. 123)
Asymmetric unit:
V  0.0000  0.5000  0.0000
Zn  0.0000  0.0000  0.5000
H  0.5000  0.5000  0.0000
Ir  0.5000  0.5000  0.5000

- Excess energy over the best structure of this formula in the dataset: 0.0000 eV per atom
- VASP energy: -6.498 eV/atom
- Calculated volume: 57.40 Å³ per cell
- Magnetization: 0.0000 μB per atom

=====

# 7
A plane-wave DFT calculation with PBE-GGA was carried out for a relaxed Tm2Pt3Rh crystal.

Unit cell a=7.5308 b=8.0559 c=8.5789 alpha=90.00 beta=90.00 gamma=90.00
Space group Ibam (No. 72)
Asymmetric unit:
Tm  0.2003  0.1801  0.0000
Pt  0.0000  0.0000  0.2500
Pt  0.0000  0.3261  0.2500
Rh  0.0000  0.5000  0.0000

- Formation energy from the elements: -4.37 eV/f.u.
- VASP energy: -6.464 eV/atom
- Calculated volume: 520.46 Å³ per cell
- Magnetization: 0.0000 μB per atom

=====

# 8
A plane-wave DFT calculation with PBE-GGA was carried out for a relaxed Li2MoW crystal.

Unit cell a=2.5623 b=4.3647 c=5.6118 alpha=90.00 beta=96.26 gamma=90.00
Space group Pm (No. 6)
Asymmetric unit:
Li  0.0000  0.0000  0.0000
Li  0.1071  0.5000  0.7630
Mo  0.6895  0.5000  0.2755
W  0.4311  0.0000  0.4907

- Formation energy from the elements: 1.58 eV/f.u.
- Excess energy over the best structure of this formula in the dataset: 0.1585 eV per atom
- VASP energy: -6.509 eV/atom
- Calculated volume: 62.39 Å³ per cell
- Magnetization: 0.0000 μB per atom

=====

# 9
A plane-wave DFT calculation with PBE-GGA was carried out for a relaxed CdSn3Se crystal.

Unit cell a=5.5641 b=5.5641 c=5.5641 alpha=90.00 beta=90.00 gamma=90.00
Space group Pm-3m (No. 221)
Asymmetric unit:
Cd  0.0000  0.0000  0.0000
Sn  0.0000  0.5000  0.5000
Se  0.5000  0.5000  0.5000

- Excess energy over the best structure of this formula in the dataset: 0.0000 eV per atom
- VASP energy: -2.896 eV/atom
- Uncorrected formation energy: 0.3860 eV/atom
- Calculated volume: 172.26 Å³ per cell
- Magnetization: 0.0000 μB per atom

=====

# 10
A plane-wave DFT calculation with PBE-GGA was carried out for a relaxed Nd2DyY3 crystal.

Unit cell a=14.9664 b=9.7923 c=6.0567 alpha=90.00 beta=113.78 gamma=90.00
Space group C2/c (No. 15)
Asymmetric unit:
Nd  0.1335  0.2188  0.3839
Dy  0.0000  0.5000  0.0000
Y  0.0000  0.1095  0.7500
Y  0.2318  0.4163  0.9806

- Formation energy from the elements: 0.91 eV/f.u.
- Excess energy over the best structure of this formula in the dataset: 0.0000 eV per atom
- VASP energy: -5.437 eV/atom
- Calculated volume: 812.31 Å³ per cell
- Magnetization: 0.0000 μB per atom

=====

# 11
A plane-wave DFT calculation with PBE-GGA was carried out for a relaxed Ac3OsIBr crystal.

Unit cell a=10.2506 b=4.4097 c=10.7136 alpha=90.00 beta=93.32 gamma=90.00
Space group P2_1/m (No. 11)
Asymmetric unit:
Ac  0.0780  0.2500  0.3611
Ac  0.1467  0.2500  0.9109
Ac  0.3156  0.7500  0.6385
Os  0.1213  0.2500  0.6479
I  0.3916  0.7500  0.3310
Br  0.3697  0.7500  0.9309

- VASP energy: -5.283 eV/atom
- Uncorrected formation energy: -0.8203 eV/atom
- Calculated volume: 483.46 Å³ per cell
- Magnetization: 0.0997 μB per atom

=====

# 12
A plane-wave DFT calculation with PBE-GGA was carried out for a relaxed Ce4SO3 crystal.

Unit cell a=3.5884 b=3.5884 c=12.5188 alpha=90.00 beta=90.00 gamma=120.00
Space group P-3m1 (No. 164)
Asymmetric unit:
Ce  0.3333  0.6667  0.3494
Ce  0.3333  0.6667  0.8833
S  0.0000  0.0000  0.5000
O  0.0000  0.0000  0.0000
O  0.0000  0.0000  0.2333

- VASP energy: -7.846 eV/atom
- Uncorrected formation energy: -2.5042 eV/atom
- Calculated volume: 139.61 Å³ per cell
- Magnetization: 0.0001 μB per atom

=====

# 13
A plane-wave DFT calculation with PBE-GGA was carried out for a relaxed KNa5Li crystal.

Unit cell a=5.5551 b=5.5551 c=9.2652 alpha=90.00 beta=90.00 gamma=90.00
Space group P4/mmm (No. 123)
Asymmetric unit:
K  0.0000  0.0000  0.0000
Na  0.0000  0.5000  0.3077
Na  0.5000  0.5000  0.0000
Li  0.5000  0.5000  0.5000

- Formation energy from the elements: 0.61 eV/f.u.
- Excess energy over the best structure of this formula in the dataset: 0.0200 eV per atom
- VASP energy: -1.286 eV/atom
- Calculated volume: 285.92 Å³ per cell
- Magnetization: 0.0000 μB per atom

=====

# 14
A plane-wave DFT calculation with PBE-GGA was carried out for a relaxed Ta4Mo3 crystal.

Unit cell a=10.3827 b=3.2258 c=7.2051 alpha=90.00 beta=98.04 gamma=90.00
Space group C2/m (No. 12)
Asymmetric unit:
Ta  0.0686  0.0000  0.2119
Ta  0.2062  0.0000  0.6433
Mo  0.0000  0.5000  0.5000
Mo  0.1470  0.5000  0.9335

- Formation energy from the elements: -1.26 eV/f.u.
- Excess energy over the best structure of this formula in the dataset: 0.0000 eV per atom
- VASP energy: -11.595 eV/atom
- Calculated volume: 238.95 Å³ per cell
- Magnetization: 0.0000 μB per atom

=====

# 15
A plane-wave DFT calculation with PBE-GGA was carried out for a relaxed BaCu2Ru crystal.

Unit cell a=7.5013 b=4.3322 c=6.0922 alpha=90.00 beta=114.39 gamma=90.00
Space group Cm (No. 8)
Asymmetric unit:
Ba  0.0000  0.0000  0.0000
Cu  0.1828  0.0000  0.5500
Cu  0.4953  0.0000  0.4878
Ru  0.3172  0.5000  0.4536

- Formation energy from the elements: 0.80 eV/f.u.
- Excess energy over the best structure of this formula in the dataset: 0.0000 eV per atom
- VASP energy: -4.648 eV/atom
- Calculated volume: 180.31 Å³ per cell
- Magnetization: 0.0856 μB per atom

=====

# 16
A plane-wave DFT calculation with PBE-GGA was carried out for a relaxed LiZnCu4 crystal.

Unit cell a=4.4758 b=4.4851 c=4.5216 alpha=80.69 beta=70.65 gamma=60.25
Space group P-1 (No. 2)
Asymmetric unit:
Li  0.0000  0.0000  0.0000
Zn  0.5000  0.0000  0.5000
Cu  0.1689  0.6611  0.5004
Cu  0.3330  0.3352  0.9994

- Formation energy from the elements: -0.41 eV/f.u.
- Excess energy over the best structure of this formula in the dataset: 0.0078 eV per atom
- VASP energy: -3.330 eV/atom
- Calculated volume: 74.35 Å³ per cell
- Magnetization: 0.0000 μB per atom

=====

# 17
A plane-wave DFT calculation with PBE-GGA was carried out for a relaxed Na3Te4Au4 crystal.

Unit cell a=4.5883 b=4.6418 c=29.5221 alpha=90.00 beta=90.00 gamma=90.00
Space group Immm (No. 71)
Asymmetric unit:
Na  0.0000  0.0000  0.0000
Na  0.0000  0.5000  0.3701
Te  0.0000  0.0000  0.2489
Te  0.0000  0.5000  0.0980
Au  0.0000  0.0000  0.4554
Au  0.0000  0.5000  0.1878

- VASP energy: -2.990 eV/atom
- Uncorrected formation energy: -0.2956 eV/atom
- Calculated volume: 628.76 Å³ per cell
- Magnetization: 0.0000 μB per atom

=====

# 18
A plane-wave DFT calculation with PBE-GGA was carried out for a relaxed Rb3Tm3CrTe8 crystal.

Unit cell a=8.5754 b=8.5754 c=26.6941 alpha=90.00 beta=90.00 gamma=120.00
Space group R-3m (No. 166, hexagonal axes)
Asymmetric unit:
Rb  0.0000  0.5000  0.0000
Tm  0.0000  0.5000  0.5000
Cr  0.0000  0.0000  0.5000
Te  0.0000  0.0000  0.2332
Te  0.0230  0.5115  0.2286

- VASP energy: -4.472 eV/atom
- Uncorrected formation energy: -1.0669 eV/atom
- Calculated volume: 1700.15 Å³ per cell
- Magnetization: 0.1831 μB per atom

=====

# 19
A plane-wave DFT calculation with PBE-GGA was carried out for a relaxed PW crystal.

Unit cell a=4.4055 b=4.4055 c=7.7096 alpha=90.00 beta=90.00 gamma=120.00
Space group P6_3/mmc (No. 194)
Asymmetric unit:
P  0.3333  0.6667  0.0868
W  0.0000  0.0000  0.2500
W  0.3333  0.6667  0.7500

- Formation energy from the elements: 1.28 eV/f.u.
- VASP energy: -8.544 eV/atom
- Calculated volume: 129.59 Å³ per cell
- Magnetization: 0.0000 μB per atom

=====

# 20
A plane-wave DFT calculation with PBE-GGA was carried out for a relaxed HgBi3Pb12 crystal.

Unit cell a=5.1149 b=5.1149 c=19.1849 alpha=90.00 beta=90.00 gamma=90.00
Space group P4/mmm (No. 123)
Asymmetric unit:
Hg  0.0000  0.0000  0.0000
Bi  0.0000  0.0000  0.2446
Bi  0.0000  0.0000  0.5000
Pb  0.0000  0.5000  0.1216
Pb  0.0000  0.5000  0.3744
Pb  0.5000  0.5000  0.0000
Pb  0.5000  0.5000  0.2492
Pb  0.5000  0.5000  0.5000

- Formation energy from the elements: 0.21 eV/f.u.
- VASP energy: -3.515 eV/atom
- Calculated volume: 501.93 Å³ per cell
- Magnetization: 0.0000 μB per atom